HfBiIO6 | PBE | optimized geometry

* DFT total energy: -6.57 eV/atom
* size of the total moment: 0.0 μB per cell
* symmetry: P-31c
* volume: 14.77 A^3/atom
* uncorrected formation energy: -1.55 eV per atom

abc: 5.560 5.560 9.934
angles: 90.00 90.00 120.00
Element x y z (fractional)
O: 0.357 0.998 0.138
O: 0.643 0.640 0.638
O: 0.998 0.357 0.638
O: 0.360 0.357 0.862
O: 0.002 0.360 0.138
O: 0.360 0.002 0.638
O: 0.640 0.998 0.362
O: 0.643 0.002 0.862
O: 0.640 0.643 0.138
O: 0.002 0.643 0.362
O: 0.357 0.360 0.362
O: 0.998 0.640 0.862
I: 0.667 0.333 0.250
I: 0.333 0.667 0.750
Hf: 0.333 0.667 0.250
Hf: 0.667 0.333 0.750
Bi: 0.000 0.000 0.000
Bi: 0.000 0.000 0.500